## Mn2CoAg (GGA-PBE)

Data for a geometry-optimized Mn2CoAg structure.

The structure in POSCAR format:
```
Mn2CoAg
1.0
-1.411 4.055 -1.366
-3.597 2.349 -1.356
-1.476 1.917 4.331
Mn Co Ag
2 1 1
Direct
0.491 0.491 0.525
0.009 0.009 0.975
0.750 0.750 0.750
0.250 0.250 0.250
```

symmetry: C2/m
offset from the most stable computed form: 199 meV/atom